[1]
# Hg7Se6

Hg7Se6 after structural relaxation (PBE-GGA, Alexandria via LeMat-Bulk).

Results
The calculation puts the formation energy without anion corrections at 0.095 eV/atom. The calculation puts the total magnetic moment at 0.0 Bohr magnetons per cell.

Cell lengths 7.2761, 7.2761, 24.5125 Å; angles 90.00, 90.00, 120.00 degrees
Space group R-3m (No. 166, hexagonal axes)
Unique sites:
Hg 0.0000 0.0000 0.0000
Hg 0.0132 0.5066 0.5810
Se 0.0000 0.0000 0.1755
Se 0.0000 0.0000 0.3265
Se 0.0000 0.0000 0.4205

[2]
# HgSe2

HgSe2 after structural relaxation (PBE-GGA, Alexandria via LeMat-Bulk).

Results
The calculation puts the formation energy without anion corrections at 0.523 eV/atom. The calculation puts the total magnetic moment at 1.1 Bohr magnetons per cell. The calculation puts the excess energy over the best structure of this formula in the dataset at 0.544 eV per atom.

Cell lengths 3.9451, 3.9451, 5.4434 Å; angles 90.00, 90.00, 90.00 degrees
Space group P4/mmm (No. 123)
Unique sites:
Hg 0.0000 0.0000 0.0000
Se 0.0000 0.0000 0.5000
Se 0.5000 0.5000 0.0000

[3]
# Hg3Se2

Hg3Se2 after structural relaxation (PBE-GGA, Alexandria via LeMat-Bulk).

Results
The calculation puts the formation energy without anion corrections at -0.001 eV/atom. The calculation puts the total magnetic moment at 0.0 Bohr magnetons per cell. The calculation puts the excess energy over the best structure of this formula in the dataset at 0.099 eV per atom.

Cell lengths 7.2322, 7.2322, 19.5262 Å; angles 90.00, 90.00, 120.00 degrees
Space group R-3c (No. 167, hexagonal axes)
Unique sites:
Hg 0.0000 0.3102 0.2500
Se 0.0000 0.0000 0.1482

[4]
# Hg3Se

Hg3Se after structural relaxation (PBE-GGA, Alexandria via LeMat-Bulk).

Results
The calculation puts the formation energy without anion corrections at 0.019 eV/atom. The calculation puts the total magnetic moment at 0.0 Bohr magnetons per cell.

Cell lengths 4.0056, 4.0685, 13.4792 Å; angles 90.00, 90.00, 90.00 degrees
Space group Immm (No. 71)
Unique sites:
Hg 0.0000 0.0000 0.0000
Hg 0.0000 0.5000 0.2099
Se 0.0000 0.0000 0.5000

[5]
# HgSe2

HgSe2 after structural relaxation (PBE-GGA, Alexandria via LeMat-Bulk).

Results
The calculation puts the formation energy without anion corrections at 0.347 eV/atom. The calculation puts the total magnetic moment at 0.0 Bohr magnetons per cell. The calculation puts the excess energy over the best structure of this formula in the dataset at 0.368 eV per atom.

Cell lengths 7.0408, 7.0408, 3.8941 Å; angles 90.00, 90.00, 90.00 degrees
Space group P4_2/mnm (No. 136)
Unique sites:
Hg 0.0000 0.0000 0.0000
Se 0.1709 0.1709 0.5000

[6]
# HgSe3

HgSe3 after structural relaxation (PBE-GGA, Alexandria via LeMat-Bulk).

Results
The calculation puts the formation energy without anion corrections at 0.230 eV/atom. The calculation puts the total magnetic moment at 0.0 Bohr magnetons per cell.

Cell lengths 2.7291, 2.7291, 15.2122 Å; angles 90.00, 90.00, 90.00 degrees
Space group P4/mmm (No. 123)
Unique sites:
Hg 0.0000 0.0000 0.0000
Se 0.0000 0.0000 0.5000
Se 0.5000 0.5000 0.2229

[7]
# Hg5Se

Hg5Se after structural relaxation (PBE-GGA, Alexandria via LeMat-Bulk).

Results
The calculation puts the formation energy without anion corrections at 0.021 eV/atom. The calculation puts the total magnetic moment at 0.0 Bohr magnetons per cell.

Cell lengths 4.0724, 20.5315, 4.0990 Å; angles 90.00, 90.00, 90.00 degrees
Space group Cmmm (No. 65)
Unique sites:
Hg 0.0000 0.0000 0.0000
Hg 0.0000 0.1905 0.5000
Hg 0.0000 0.3647 0.0000
Se 0.0000 0.5000 0.5000

[8]
# HgSe5

HgSe5 after structural relaxation (PBE-GGA, Alexandria via LeMat-Bulk).

Results
The calculation puts the formation energy without anion corrections at 0.639 eV/atom. The calculation puts the total magnetic moment at 0.0 Bohr magnetons per cell. The calculation puts the excess energy over the best structure of this formula in the dataset at 0.532 eV per atom.

Cell lengths 8.2464, 8.2464, 8.2464 Å; angles 90.00, 90.00, 90.00 degrees
Space group F-43m (No. 216)
Unique sites:
Hg 0.0000 0.0000 0.0000
Se 0.1152 0.1152 0.3848
Se 0.2500 0.2500 0.7500

[9]
# Hg3Se

Hg3Se after structural relaxation (PBE-GGA, Alexandria via LeMat-Bulk).

Results
The calculation puts the formation energy without anion corrections at -0.016 eV/atom. The calculation puts the total magnetic moment at 0.0 Bohr magnetons per cell.

Cell lengths 7.3297, 4.2271, 7.2547 Å; angles 90.00, 109.77, 90.00 degrees
Space group C2/m (No. 12)
Unique sites:
Hg 0.0000 0.0000 0.0000
Hg 0.2440 0.0000 0.7318
Se 0.0000 0.5000 0.5000

[10]
# HgSe2

HgSe2 after structural relaxation (PBE-GGA, Alexandria via LeMat-Bulk).

Results
The calculation puts the formation energy without anion corrections at 0.050 eV/atom. The calculation puts the total magnetic moment at 0.0 Bohr magnetons per cell. The calculation puts the excess energy over the best structure of this formula in the dataset at 0.071 eV per atom.

Cell lengths 6.1816, 6.1816, 7.8407 Å; angles 90.00, 90.00, 90.00 degrees
Space group I4/mcm (No. 140)
Unique sites:
Hg 0.0000 0.0000 0.2500
Se 0.1334 0.3666 0.0000

[11]
# Hg5Se

Hg5Se after structural relaxation (PBE-GGA, Alexandria via LeMat-Bulk).

Results
The calculation puts the formation energy without anion corrections at 0.016 eV/atom. The calculation puts the total magnetic moment at 0.0 Bohr magnetons per cell.

Cell lengths 4.0889, 13.1413, 6.1156 Å; angles 90.00, 90.00, 90.00 degrees
Space group Cmmm (No. 65)
Unique sites:
Hg 0.0000 0.0000 0.0000
Hg 0.0000 0.3343 0.0000
Hg 0.0000 0.3378 0.5000
Se 0.0000 0.0000 0.5000

[12]
# HgSe4

HgSe4 after structural relaxation (PBE-GGA, Alexandria via LeMat-Bulk).

Results
The calculation puts the formation energy without anion corrections at 0.563 eV/atom. The calculation puts the total magnetic moment at 0.0 Bohr magnetons per cell. The calculation puts the excess energy over the best structure of this formula in the dataset at 0.454 eV per atom.

Cell lengths 6.4390, 6.4390, 6.4390 Å; angles 90.00, 90.00, 90.00 degrees
Space group Im-3m (No. 229)
Unique sites:
Hg 0.0000 0.0000 0.0000
Se 0.2500 0.2500 0.2500

Which of these has the lowest formation energy without anion corrections?
number 9

Copy entry 8 word for word.
# HgSe5

HgSe5 after structural relaxation (PBE-GGA, Alexandria via LeMat-Bulk).

Results
The calculation puts the formation energy without anion corrections at 0.639 eV/atom. The calculation puts the total magnetic moment at 0.0 Bohr magnetons per cell. The calculation puts the excess energy over the best structure of this formula in the dataset at 0.532 eV per atom.

Cell lengths 8.2464, 8.2464, 8.2464 Å; angles 90.00, 90.00, 90.00 degrees
Space group F-43m (No. 216)
Unique sites:
Hg 0.0000 0.0000 0.0000
Se 0.1152 0.1152 0.3848
Se 0.2500 0.2500 0.7500

formation energy without anion corrections of number 7 (Hg5Se)?
0.021 eV/atom

total magnetic moment of number 10 (HgSe2)?
0.0 Bohr magnetons per cell